Here is a geometry-optimized NiPSeO2 structure from Alexandria. Energies are from PBE+U.

* volume: 13.94 Å³/atom
* energy relative to the lowest polymorph listed for this composition: 0 meV per atom
* space group: No. 123

Structure (POSCAR):
```
NiPSeO2
1.0
3.712 0.000 0.000
0.000 3.712 0.000
0.000 0.000 5.058
Ni P Se O
1 1 1 2
direct
0.000 0.000 0.000 Ni
0.500 0.500 0.000 P
0.500 0.500 0.500 Se
0.000 0.500 0.500 O
0.500 0.000 0.500 O
```